DFT (GGA-PBE) results for a geometry-optimized AgBiI2N structure.

Lattice parameters (Å, degrees): 6.022 6.022 3.895 90.00 90.00 90.00
Sites, in units of the cell vectors:
1 Ag 0.000 0.000 0.000
2 Bi 0.500 0.500 0.500
3 I 0.000 0.500 0.000
4 I 0.500 0.000 0.000
5 N 0.000 0.000 0.500

Relative energy among the computed polymorphs   195 meV per atom
Final energy   -2.6764 eV per atom
Formation energy (no corrections)   4.8 eV per formula unit
Symmetry   P4/mmm

DFT (GGA-PBE) results for a geometry-optimized HgIrC3 structure.

Lattice parameters (Å, degrees): 4.074 4.074 4.074 90.00 90.00 90.00
Sites, in units of the cell vectors:
1 Hg 0.000 0.000 0.000
2 Ir 0.500 0.500 0.500
3 C 0.000 0.500 0.500
4 C 0.500 0.000 0.500
5 C 0.500 0.500 0.000

Calculated formation energy   2173.1 meV/atom
Relative energy among the computed polymorphs   0 meV per atom
Final energy   -5.1937 eV per atom
Symmetry   Pm-3m

Question: Look up the final energy of the first one.
Answer: -2.6764 eV per atom